## PrSmIrPt (PBE)

Data for crystalline PrSmIrPt at its relaxed geometry.

As for the total magnetic moment: 0.00 Bohr magnetons per cell. For the energy relative to the elements, the calculation gives -0.891 eV/atom. As for the distance to the lowest polymorph of the same formula: 0 meV per atom. The value obtained for the total energy is -0.51384 Ry per atom.

Lattice parameters (Å, degrees): 3.9701 4.3761 5.8229 90.00 109.93 90.00
Atoms (fractional coordinates):
Pt 0.5833 0.5000 0.1666
Ir 0.4124 0.0000 0.8248
Pr 0.1432 0.0000 0.2865
Sm 0.8611 0.5000 0.7221